Run a
Pm2HgF, optimized geometry, DFT PBE; total magnetic moment = 0.00 μB/f.u.
1.0
1.943 1.122 7.326
-1.943 1.122 7.326
0.000 -2.244 7.326
Pm Hg F
2 1 1
direct
0.230 0.230 0.230
0.770 0.770 0.770
0.000 0.000 0.000
0.500 0.500 0.500



Run b
Pm2HgF, optimized geometry, DFT PBE; total magnetic moment = 0.00 μB/f.u.
1.0
3.365 0.000 0.000
0.000 3.365 0.000
0.000 0.000 8.017
Pm Hg F
2 1 1
direct
0.000 0.000 0.232
0.000 0.000 0.768
0.500 0.500 0.500
0.500 0.500 0.000



Relative to the most stable one, in meV per atom, the structures come out at run a 0; run b 214.



Run a
PmHgF6, optimized geometry, DFT PBE; total magnetic moment = 1.00 μB/f.u.
1.0
4.069 -5.557 0.000
4.069 5.557 0.000
0.000 0.000 5.395
Pm Hg F
2 2 12
direct
0.250 0.250 0.000
0.750 0.750 0.000
0.250 0.750 0.549
0.750 0.250 0.451
0.042 0.296 0.692
0.103 0.897 0.854
0.204 0.458 0.308
0.296 0.042 0.308
0.397 0.603 0.854
0.458 0.204 0.692
0.542 0.796 0.308
0.603 0.397 0.146
0.704 0.958 0.692
0.796 0.542 0.692
0.897 0.103 0.146
0.958 0.704 0.308



Run b
PmHgF6, optimized geometry, DFT PBE; total magnetic moment = 1.05 μB/f.u.
1.0
5.593 0.000 0.000
2.796 4.851 0.000
2.795 1.611 5.416
Pm Hg F
1 1 6
direct
0.000 0.000 0.000
0.500 0.500 0.500
0.119 0.741 0.750
0.258 0.610 0.250
0.390 0.119 0.750
0.610 0.881 0.250
0.742 0.390 0.750
0.881 0.259 0.250



Relative to the most stable one, in meV per atom, the structures come out at run a 30; run b 0.



Run a
Pr2HgF, optimized geometry, DFT PBE; total magnetic moment = 0.00 μB/f.u.
1.0
1.982 1.144 7.391
-1.982 1.144 7.391
0.000 -2.288 7.391
Pr Hg F
2 1 1
direct
0.231 0.231 0.231
0.769 0.769 0.769
0.000 0.000 0.000
0.500 0.500 0.500



Run b
Pr2HgF, optimized geometry, DFT PBE; total magnetic moment = 0.00 μB/f.u.
1.0
3.407 0.000 0.000
0.000 3.407 0.000
0.000 0.000 8.107
Pr Hg F
2 1 1
direct
0.000 0.000 0.231
0.000 0.000 0.769
0.500 0.500 0.500
0.500 0.500 0.000



Relative to the most stable one, in meV per atom, the structures come out at run a 0; run b 190.